1.
! AgCl2, single point on PBEsol structure, DFT SCAN; values from VASP
! raw total energy: -194.3 eV/cell
! formation energy (no corrections): -9.71 kcal/mol of atoms
&SYSTEM
  ibrav = 0, nat = 12, ntyp = 2
/
ATOMIC_SPECIES
Ag 107.87 Ag.upf
Cl 35.45 Cl.upf
CELL_PARAMETERS angstrom
7.0897 0.0000 0.0000
0.0000 3.5957 0.0000
0.0000 0.0000 11.2672
ATOMIC_POSITIONS angstrom
Ag 1.7748 0.8989 0.0111
Ag 1.7700 2.6967 5.6447
Ag 5.3196 0.8989 5.6225
Ag 5.3149 2.6967 11.2561
Cl 0.9612 0.8989 7.0722
Cl 0.9695 2.6967 9.8481
Cl 2.5754 0.8989 4.2145
Cl 2.5836 2.6967 1.4386
Cl 4.5060 0.8989 9.8286
Cl 4.5143 2.6967 7.0526
Cl 6.1202 0.8989 1.4190
Cl 6.1285 2.6967 4.1950

2.
! Ca2MoOs, single point on PBEsol structure, DFT SCAN; values from VASP
! excess energy over the best structure of this formula in the dataset: 0.01 eV per formula unit
! raw total energy: -123.1 eV/cell
! energy of formation: 0.74 eV/atom
&SYSTEM
  ibrav = 0, nat = 4, ntyp = 3
/
ATOMIC_SPECIES
Ca 40.08 Ca.upf
Mo 95.94 Mo.upf
Os 190.23 Os.upf
CELL_PARAMETERS angstrom
-1.9410 1.9410 4.9603
1.9410 -1.9410 4.9603
1.9410 1.9410 -4.9603
ATOMIC_POSITIONS angstrom
Ca 1.9410 0.0000 2.4802
Ca 0.0000 1.9410 2.4802
Mo 0.0000 0.0000 0.0000
Os 0.0000 0.0000 4.9603

3.
! MnH2Br, single point on PBEsol structure, DFT SCAN; values from VASP
! raw total energy: -41.7 eV/cell
&SYSTEM
  ibrav = 0, nat = 4, ntyp = 3
/
ATOMIC_SPECIES
Mn 54.94 Mn.upf
H 1.01 H.upf
Br 79.90 Br.upf
CELL_PARAMETERS angstrom
0.0000 2.8333 2.8333
2.8333 0.0000 2.8333
2.8333 2.8333 0.0000
ATOMIC_POSITIONS angstrom
Mn 0.0000 0.0000 0.0000
H 1.4167 1.4167 1.4167
H 4.2500 4.2500 4.2500
Br 2.8333 2.8333 2.8333

4.
! YSeBr2, single point on PBEsol structure, DFT SCAN; values from VASP
! excess energy over the best structure of this formula in the dataset: 0.55 eV per formula unit
! raw total energy: -91.9 eV/cell
! formation energy (no corrections): -29.43 kcal/mol of atoms
&SYSTEM
  ibrav = 0, nat = 4, ntyp = 3
/
ATOMIC_SPECIES
Y 88.91 Y.upf
Se 78.96 Se.upf
Br 79.90 Br.upf
CELL_PARAMETERS angstrom
3.7434 0.0000 0.0000
0.0000 3.7434 0.0000
0.0000 0.0000 7.3537
ATOMIC_POSITIONS angstrom
Y 0.0000 0.0000 0.0000
Se 1.8717 1.8717 6.2868
Br 0.0000 0.0000 4.4995
Br 1.8717 1.8717 1.9004

5.
! Ta4Au, single point on PBEsol structure, DFT SCAN; values from VASP
! excess energy over the best structure of this formula in the dataset: 4.36 eV per formula unit
! raw total energy: -331.6 eV/cell
! energy of formation: 0.79 eV/atom
&SYSTEM
  ibrav = 0, nat = 5, ntyp = 2
/
ATOMIC_SPECIES
Ta 180.95 Ta.upf
Au 196.97 Au.upf
CELL_PARAMETERS angstrom
-1.8681 1.8681 6.8715
1.8681 -1.8681 6.8715
1.8681 1.8681 -6.8715
ATOMIC_POSITIONS angstrom
Ta 0.0000 0.0000 1.2596
Ta 1.8681 0.0000 3.4357
Ta 0.0000 1.8681 3.4357
Ta 0.0000 0.0000 12.4834
Au 0.0000 0.0000 6.8715

6.
! Mn2AlCr, single point on PBEsol structure, DFT SCAN; values from VASP
! raw total energy: -63.2 eV/cell
! energy of formation: -0.15 eV/atom
&SYSTEM
  ibrav = 0, nat = 4, ntyp = 3
/
ATOMIC_SPECIES
Mn 54.94 Mn.upf
Al 26.98 Al.upf
Cr 52.00 Cr.upf
CELL_PARAMETERS angstrom
-1.4217 1.9772 3.9758
1.4217 -1.9772 3.9758
1.4217 1.9772 -3.9758
ATOMIC_POSITIONS angstrom
Mn 0.0000 0.0000 0.0000
Mn 0.0000 1.9772 2.0439
Al 1.4217 0.0000 2.0636
Cr 0.0000 0.0000 4.1629

7.
! TlTe2Pd2, single point on PBEsol structure, DFT SCAN; values from VASP
! raw total energy: -213.9 eV/cell
! formation energy (no corrections): -7.06 kcal/mol of atoms
&SYSTEM
  ibrav = 0, nat = 5, ntyp = 3
/
ATOMIC_SPECIES
Tl 204.38 Tl.upf
Te 127.60 Te.upf
Pd 106.42 Pd.upf
CELL_PARAMETERS angstrom
-2.1268 2.1268 6.6496
2.1268 -2.1268 6.6496
2.1268 2.1268 -6.6496
ATOMIC_POSITIONS angstrom
Tl 0.0000 0.0000 0.0000
Te 0.0000 0.0000 4.9117
Te 0.0000 0.0000 8.3875
Pd 2.1268 0.0000 3.3248
Pd 0.0000 2.1268 3.3248

8.
! Ti3Zn3N, single point on PBEsol structure, DFT SCAN; values from VASP
! raw total energy: -415.6 eV/cell
! formation energy (no corrections): -19.66 kcal/mol of atoms
&SYSTEM
  ibrav = 0, nat = 28, ntyp = 3
/
ATOMIC_SPECIES
Ti 47.87 Ti.upf
Zn 65.41 Zn.upf
N 14.01 N.upf
CELL_PARAMETERS angstrom
0.0000 5.6691 5.6691
5.6691 0.0000 5.6691
5.6691 5.6691 0.0000
ATOMIC_POSITIONS angstrom
Ti 4.2518 4.2518 0.6286
Ti 4.2518 0.6286 4.2518
Ti 7.8750 4.2518 4.2518
Ti 7.0863 7.0863 3.4632
Ti 7.0863 3.4632 7.0863
Ti 10.7095 7.0863 7.0863
Ti 0.6286 4.2518 4.2518
Ti 4.2518 7.8750 4.2518
Ti 4.2518 4.2518 7.8750
Ti 3.4632 7.0863 7.0863
Ti 7.0863 10.7095 7.0863
Ti 7.0863 7.0863 10.7095
Zn 5.6691 2.8345 2.8345
Zn 3.2927 3.2927 3.2927
Zn 5.2110 5.2110 3.2927
Zn 5.2110 3.2927 5.2110
Zn 8.0455 6.1272 6.1272
Zn 2.8345 5.6691 2.8345
Zn 2.8345 2.8345 5.6691
Zn 5.6691 5.6691 5.6691
Zn 3.2927 5.2110 5.2110
Zn 6.1272 8.0455 6.1272
Zn 6.1272 6.1272 8.0455
Zn 8.0455 8.0455 8.0455
N 0.0000 0.0000 0.0000
N 2.8345 2.8345 0.0000
N 2.8345 0.0000 2.8345
N 0.0000 2.8345 2.8345

9.
! RhF6, single point on PBEsol structure, DFT SCAN; values from VASP
! raw total energy: -64.3 eV/cell
! formation energy (no corrections): -30.50 kcal/mol of atoms
&SYSTEM
  ibrav = 0, nat = 7, ntyp = 2
/
ATOMIC_SPECIES
Rh 102.91 Rh.upf
F 19.00 F.upf
CELL_PARAMETERS angstrom
-3.1606 3.1606 3.1606
3.1606 -3.1606 3.1606
3.1606 3.1606 -3.1606
ATOMIC_POSITIONS angstrom
Rh 0.0000 0.0000 0.0000
F 1.8341 0.0000 0.0000
F 4.4870 0.0000 0.0000
F 0.0000 1.8341 0.0000
F 0.0000 0.0000 1.8341
F 0.0000 4.4870 0.0000
F 0.0000 0.0000 4.4870

10.
! Li8Cr3TeO12, single point on PBEsol structure, DFT SCAN; values from VASP
! raw total energy: -237.8 eV/cell
! formation energy (no corrections): -49.45 kcal/mol of atoms
&SYSTEM
  ibrav = 0, nat = 24, ntyp = 4
/
ATOMIC_SPECIES
Li 6.94 Li.upf
Cr 52.00 Cr.upf
Te 127.60 Te.upf
O 16.00 O.upf
CELL_PARAMETERS angstrom
4.9451 0.0000 0.0000
0.0000 8.4420 0.0000
-0.0315 0.0000 4.9457
ATOMIC_POSITIONS angstrom
Li 0.0000 0.0000 0.0000
Li -0.0157 0.1829 2.4729
Li -0.0157 2.6027 2.4729
Li 0.0000 5.7705 0.0000
Li 2.4568 1.4731 2.4729
Li 2.4568 3.9318 2.4729
Li 2.4726 4.2161 0.0000
Li 2.4726 7.0346 0.0000
Cr 0.0000 2.7637 0.0000
Cr 2.4726 1.3602 0.0000
Cr 2.4568 7.2203 2.4729
Te -0.0157 5.5499 2.4729
O 0.7431 4.2356 3.6757
O 0.8227 6.9738 3.5614
O 0.8275 1.4651 3.8540
O 1.5864 5.6946 1.3828
O 1.6158 2.7343 1.0763
O 1.7241 0.0041 1.2255
O 3.1896 0.0041 3.7202
O 3.2979 2.7343 3.8694
O 3.3272 5.6946 3.5629
O 4.0862 1.4651 1.0917
O 4.0910 6.9738 1.3843
O 4.1706 4.2356 1.2700

11.
! ZnCu2Au, single point on PBEsol structure, DFT SCAN; values from VASP
! raw total energy: -113.1 eV/cell
! energy of formation: 0.00 eV/atom
&SYSTEM
  ibrav = 0, nat = 4, ntyp = 3
/
ATOMIC_SPECIES
Zn 65.41 Zn.upf
Cu 63.55 Cu.upf
Au 196.97 Au.upf
CELL_PARAMETERS angstrom
1.3729 0.7926 8.3490
-1.3729 0.7926 8.3490
0.0000 -1.5853 8.3490
ATOMIC_POSITIONS angstrom
Zn 0.0000 0.0000 0.0000
Cu 0.0000 0.0000 6.3750
Cu 0.0000 0.0000 12.8106
Au 0.0000 0.0000 18.9703

12.
! SrTaCoH2, single point on PBEsol structure, DFT SCAN; values from VASP
! raw total energy: -107.6 eV/cell
&SYSTEM
  ibrav = 0, nat = 5, ntyp = 4
/
ATOMIC_SPECIES
Sr 87.62 Sr.upf
Ta 180.95 Ta.upf
Co 58.93 Co.upf
H 1.01 H.upf
CELL_PARAMETERS angstrom
4.1543 0.0000 0.0000
0.0000 4.1543 0.0000
0.0000 0.0000 4.3839
ATOMIC_POSITIONS angstrom
Sr 0.0000 0.0000 0.0000
Ta 2.0771 2.0771 0.0000
Co 2.0771 2.0771 2.1919
H 0.0000 2.0771 2.1919
H 2.0771 0.0000 2.1919